CaMn8O13F3 (PBE+U, relaxed); energy = -6.895 eV/atom; total magnetization = 29.0 μB/f.u.; offset from the most stable computed form = 0.053 eV per atom
1.0
5.783 0.000 0.000
0.451 6.877 0.000
0.627 0.732 7.045
Ca Mn O F
1 8 13 3
Direct
0.000 0.000 0.000 Ca
0.101 0.639 0.272 Mn
0.188 0.249 0.613 Mn
0.287 0.683 0.744 Mn
0.371 0.169 0.251 Mn
0.529 0.977 0.929 Mn
0.641 0.418 0.503 Mn
0.827 0.444 0.993 Mn
0.834 0.926 0.499 Mn
0.064 0.643 0.978 O
0.067 0.119 0.429 O
0.078 0.717 0.538 O
0.284 0.964 0.765 O
0.335 0.429 0.341 O
0.345 0.922 0.163 O
0.390 0.410 0.712 O
0.569 0.132 0.452 O
0.636 0.199 0.059 O
0.786 0.980 0.753 O
0.848 0.461 0.277 O
0.862 0.841 0.260 O
0.893 0.367 0.722 O
0.164 0.266 0.049 F
0.551 0.658 0.935 F
0.589 0.718 0.550 F